First-principles (PBE-GGA) data for a relaxed Tl2PW crystal, as listed in the Alexandria database.

```
Tl2PW
1.0
3.190 0.000 0.000
0.000 4.968 0.000
0.000 0.000 5.174
Tl P W
2 1 1
direct
0.000 0.000 0.000
0.500 0.500 0.000
0.000 0.500 0.500
0.500 0.000 0.500
```

Output
electronic total energy = -4.6675 eV/atom
DOS at the Fermi energy = 3.75 states/eV/f.u.
DFT formation energy = 1.106 eV per atom



First-principles (PBE-GGA) data for a relaxed Li2PuThS4 crystal, as listed in the Alexandria database.

```
Li2PuThS4
1.0
6.606 0.000 0.000
0.000 4.017 0.000
-2.409 0.000 6.487
Li Pu Th S
2 1 1 4
direct
0.000 0.000 0.000
0.000 0.500 0.500
0.500 0.000 0.500
0.500 0.500 0.000
0.239 0.000 0.748
0.246 0.500 0.248
0.754 0.500 0.752
0.761 0.000 0.252
```

Output
electronic total energy = -6.8815 eV/atom
formation energy without anion corrections = -1.620 eV/atom
DOS at the Fermi energy = 10.60 states/eV/f.u.